# 1
## AlTeMo2 (meta-GGA SCAN)

Data for a PBEsol-optimized structure of AlTeMo2.

## Properties
Total energy in eV per cell: -113.31
Offset from the most stable computed form in meV/atom: 132
Formation energy from raw total energies in meV per atom: 365
Spin magnetization in μB/atom: 0.000

```
4
Lattice="4.023 0.000 0.000 0.000 4.023 0.000 -2.011 -2.011 4.088" Properties=species:S:1:pos:R:3 pbc="T T T"
Mo 2.011 0.000 2.044
Mo 0.000 0.000 0.000
Te 2.011 2.011 0.000
Al 0.000 2.011 2.044
```



# 2
## AlTe2Mo (meta-GGA SCAN)

Data for a PBEsol-optimized structure of AlTe2Mo.

## Properties
Total energy in eV per cell: -115.16
Formation energy from raw total energies in meV per atom: 495
Spin magnetization in μB/atom: 0.387

```
4
Lattice="3.298 0.000 0.000 0.000 4.883 0.002 0.000 -0.099 4.882" Properties=species:S:1:pos:R:3 pbc="T T T"
Te 0.000 -0.049 2.441
Te 0.000 2.442 0.001
Mo 1.649 2.392 2.442
Al 1.649 0.000 0.000
```



# 3
## AlTeMo2 (meta-GGA SCAN)

Data for a PBEsol-optimized structure of AlTeMo2.

## Properties
Total energy in eV per cell: -113.69
Offset from the most stable computed form in meV/atom: 39
Formation energy from raw total energies in meV per atom: 271
Spin magnetization in μB/atom: 0.000

```
4
Lattice="-2.195 -2.104 -0.696 2.521 -1.454 -3.555 2.114 -3.123 2.777" Properties=species:S:1:pos:R:3 pbc="T T T"
Mo 1.591 -1.870 0.635
Mo -1.021 -1.096 -0.455
Te 1.357 -0.783 -1.914
Al 1.773 -3.660 -1.517
```



# 4
## AlTeMo2 (meta-GGA SCAN)

Data for a PBEsol-optimized structure of AlTeMo2.

## Properties
Total energy in eV per cell: -113.82
Offset from the most stable computed form in meV/atom: 7
Formation energy from raw total energies in meV per atom: 239
Spin magnetization in μB/atom: 0.000

```
4
Lattice="3.237 0.000 0.000 0.000 3.237 0.000 0.000 0.000 6.280" Properties=species:S:1:pos:R:3 pbc="T T T"
Al 1.618 1.618 3.140
Te 1.618 1.618 0.000
Mo 0.000 0.000 4.580
Mo 0.000 0.000 1.700
```